Record 1
Ta2RhW | PBEsol | relaxed

```
Ta2RhW
1.0
4.445 0.000 0.000
0.000 4.445 0.000
0.000 0.000 3.251
Ta Rh W
2 1 1
direct
0.000 0.500 0.000 Ta
0.500 0.000 0.000 Ta
0.000 0.000 0.500 Rh
0.500 0.500 0.500 W
```

Values from the calculation:
Energy of formation in eV per atom: -0.255
Spin magnetization in μB per formula unit: 0.00
Symmetry: P4/mmm, No. 123

***

Record 2
Ta2RhW | PBEsol | relaxed

```
Ta2RhW
1.0
1.708 -2.176 0.000
1.708 2.176 0.000
0.000 0.000 8.638
Ta Rh W
2 1 1
direct
0.000 0.000 0.000 Ta
0.500 0.500 0.271 Ta
0.500 0.500 0.760 Rh
0.000 0.000 0.531 W
```

Values from the calculation:
Energy of formation in eV per atom: -0.101
Spin magnetization in μB per formula unit: 0.00
Symmetry: Cmm2, No. 35

***

Record 3
Y2TaRh | PBEsol | relaxed

```
Y2TaRh
1.0
-2.468 2.468 3.483
2.468 -2.468 3.483
2.468 2.468 -3.483
Y Ta Rh
2 1 1
direct
0.250 0.750 0.500 Y
0.750 0.250 0.500 Y
0.000 0.000 0.000 Ta
0.500 0.500 0.000 Rh
```

Values from the calculation:
Energy of formation in eV per atom: 0.168
Spin magnetization in μB per formula unit: 2.88
Polymorph energy (0 for the lowest one) in meV/atom: 257
Symmetry: I4/mmm, No. 139

***

Record 4
Y3TaRh | PBEsol | relaxed

```
Y3TaRh
1.0
5.186 0.000 0.000
0.000 5.186 0.000
0.000 0.000 5.186
Y Ta Rh
3 1 1
direct
0.000 0.000 0.500 Y
0.000 0.500 0.000 Y
0.500 0.000 0.000 Y
0.500 0.500 0.500 Ta
0.000 0.000 0.000 Rh
```

Values from the calculation:
Energy of formation in eV per atom: 0.458
Spin magnetization in μB per formula unit: 2.42
Symmetry: Pm-3m, No. 221

***

Record 5
YTaRh2 | PBEsol | relaxed

```
YTaRh2
1.0
2.960 0.000 0.000
0.000 4.521 0.000
0.000 0.000 5.298
Y Ta Rh
1 1 2
direct
0.000 0.000 0.000 Y
0.500 0.500 0.622 Ta
0.000 0.000 0.506 Rh
0.500 0.500 0.122 Rh
```

Values from the calculation:
Energy of formation in eV per atom: -0.259
Spin magnetization in μB per formula unit: 0.00
Symmetry: Pmm2, No. 25

***

Record 6
Y2TaRh | PBEsol | relaxed

```
Y2TaRh
1.0
3.307 0.000 0.000
0.000 3.307 0.000
0.000 0.000 7.698
Y Ta Rh
2 1 1
direct
0.000 0.000 0.222 Y
0.000 0.000 0.778 Y
0.500 0.500 0.500 Ta
0.500 0.500 0.000 Rh
```

Values from the calculation:
Energy of formation in eV per atom: -0.089
Spin magnetization in μB per formula unit: 0.00
Polymorph energy (0 for the lowest one) in meV/atom: 0
Symmetry: P4/mmm, No. 123